The following is a PBE calculation of La8Os3RuCl4 after structural relaxation, from the Alexandria database.

Calculated values
As for the total energy: -6.543 eV/atom.

Cell lengths 8.3555, 8.3555, 22.6885 Å; angles 90.00, 90.00, 120.00 degrees
Closest atoms and distances in Å follow each position.
Space group R-3m (No. 166, hexagonal axes)
Symmetry-distinct sites (fractional):
1 La 0.0000 0.0000 0.2348 x6  3 Os 2.86
2 La 0.9995 0.4998 0.2344 x18  2 Os 2.86, 1 Ru 2.86
3 Os 0.0000 0.5000 0.5000 x9  6 La 2.86
4 Ru 0.0000 0.0000 0.5000 x3  6 La 2.86
5 Cl 0.0000 0.0000 0.0000 x3  6 La 3.29
6 Cl 0.0000 0.5000 0.0000 x9  6 La 3.29-3.30



The following is a PBE calculation of La6OsRu2Cl3 after structural relaxation, from the Alexandria database.

Calculated values
As for the total energy: -6.384 eV/atom.

Cell lengths 7.2034, 12.4755, 7.9707 Å; angles 90.00, 107.55, 90.00 degrees
Closest atoms and distances in Å follow each position.
Space group C2/m (No. 12)
Symmetry-distinct sites (fractional):
1 La 0.2345 0.1664 0.2035 x8  1 Os 2.85, 2 Ru 2.86
2 La 0.2352 0.5000 0.2038 x4  1 Os 2.85, 2 Ru 2.86
3 Os 0.0000 0.0000 0.0000 x2  6 La 2.85
4 Ru 0.0000 0.3335 0.0000 x4  6 La 2.86
5 Cl 0.0000 0.1675 0.5000 x4  6 La 3.29-3.30
6 Cl 0.0000 0.5000 0.5000 x2  6 La 3.29-3.30



The following is a PBE calculation of La6Os2SCl3 after structural relaxation, from the Alexandria database.

Calculated values
As for the total energy: -6.416 eV/atom.

Cell lengths 7.2748, 12.6033, 7.8725 Å; angles 90.00, 107.77, 90.00 degrees
Closest atoms and distances in Å follow each position.
Space group C2/m (No. 12)
Symmetry-distinct sites (fractional):
1 La 0.2206 0.0000 0.2088 x4  2 Os 2.84, 1 S 2.98, 1 Cl 3.17
2 La 0.2440 0.3258 0.2086 x8  2 Os 2.84, 1 S 2.98
3 Os 0.0000 0.1667 0.0000 x4  6 La 2.84
4 S 0.0000 0.5000 0.0000 x2  6 La 2.98
5 Cl 0.0000 0.0000 0.5000 x2  6 La 3.17-3.31
6 Cl 0.0000 0.3349 0.5000 x4  6 La 3.20-3.30



The following is a PBE calculation of La6OsS2Cl3 after structural relaxation, from the Alexandria database.

Calculated values
As for the total energy: -6.104 eV/atom.

Cell lengths 18.5897, 4.1245, 8.5816 Å; angles 90.00, 104.04, 90.00 degrees
Closest atoms and distances in Å follow each position.
Space group C2/m (No. 12)
Symmetry-distinct sites (fractional):
1 La 0.0042 0.0000 0.2238 x4  2 Os 2.81, 1 S 2.94, 1 Cl 3.08
2 La 0.1628 0.5000 0.0954 x4  2 S 2.90, 1 Os 2.94, 3 Cl 3.10
3 La 0.1739 0.5000 0.5704 x4  3 S 2.87-2.88, 3 Cl 3.05-3.14
4 Os 0.0000 0.5000 0.0000 x2  6 La 2.81-2.94
5 S 0.1667 0.0000 0.3347 x4  6 La 2.87-2.94
6 Cl 0.0000 0.5000 0.5000 x2  6 La 3.14-3.16
7 Cl 0.1657 0.0000 0.8274 x4  6 La 3.05-3.10



The following is a PBE calculation of LaOsSCl2 after structural relaxation, from the Alexandria database.

Calculated values
As for the total energy: -4.697 eV/atom. The energy relative to the lowest polymorph listed for this composition is 0.593 eV/atom.

Cell lengths 5.5255, 5.5255, 5.6031 Å; angles 90.00, 90.00, 90.00 degrees
Closest atoms and distances in Å follow each position.
Space group P4/mmm (No. 123)
Symmetry-distinct sites (fractional):
1 La 0.0000 0.0000 0.0000 x1  4 Cl 2.76, 2 S 2.80
2 Os 0.5000 0.5000 0.5000 x1  4 S 3.91, 8 Cl 3.93
3 S 0.0000 0.0000 0.5000 x1  2 La 2.80
4 Cl 0.0000 0.5000 0.0000 x2  2 La 2.76



The following is a PBE calculation of LaOsSCl2 after structural relaxation, from the Alexandria database.

Calculated values
As for the total energy: -5.289 eV/atom. The energy relative to the lowest polymorph listed for this composition is 0.000 eV/atom.

Cell lengths 4.7090, 4.7090, 4.7995 Å; angles 90.00, 90.00, 90.00 degrees
Closest atoms and distances in Å follow each position.
Space group P4/mmm (No. 123)
Symmetry-distinct sites (fractional):
1 La 0.0000 0.0000 0.0000 x1  4 S 3.33, 8 Cl 3.36
2 Os 0.5000 0.5000 0.5000 x1  4 Cl 2.35, 2 S 2.40
3 S 0.5000 0.5000 0.0000 x1  2 Os 2.40
4 Cl 0.0000 0.5000 0.5000 x2  2 Os 2.35



The following is a PBE calculation of La8Os3SCl4 after structural relaxation, from the Alexandria database.

Calculated values
As for the total energy: -6.460 eV/atom.

Cell lengths 8.3980, 8.3980, 22.5823 Å; angles 90.00, 90.00, 120.00 degrees
Closest atoms and distances in Å follow each position.
Space group R-3m (No. 166, hexagonal axes)
Symmetry-distinct sites (fractional):
1 La 0.0000 0.0000 0.2373 x6  3 Os 2.90
2 La 0.0140 0.5070 0.7653 x18  2 Os 2.83, 1 S 2.96
3 Os 0.0000 0.5000 0.5000 x9  6 La 2.83-2.90
4 S 0.0000 0.0000 0.5000 x3  6 La 2.96
5 Cl 0.0000 0.0000 0.0000 x3  6 La 3.22
6 Cl 0.0000 0.5000 0.0000 x9  6 La 3.25-3.33



The following is a PBE calculation of LaSb2OsCl after structural relaxation, from the Alexandria database.

Calculated values
As for the total energy: -5.574 eV/atom.

Cell lengths 5.0557, 5.0557, 5.8343 Å; angles 90.00, 90.00, 90.00 degrees
Closest atoms and distances in Å follow each position.
Space group P4/mmm (No. 123)
Symmetry-distinct sites (fractional):
1 La 0.0000 0.0000 0.0000 x1  2 Os 2.92
2 Sb 0.0000 0.5000 0.5000 x2  2 Os 2.53
3 Os 0.0000 0.0000 0.5000 x1  4 Sb 2.53
4 Cl 0.5000 0.5000 0.0000 x1  4 La 3.57, 8 Sb 3.86



The following is a PBE calculation of LaOsSe2Cl after structural relaxation, from the Alexandria database.

Calculated values
As for the total energy: -5.491 eV/atom.

Cell lengths 4.9899, 4.9899, 4.7123 Å; angles 90.00, 90.00, 90.00 degrees
Closest atoms and distances in Å follow each position.
Space group P4/mmm (No. 123)
Symmetry-distinct sites (fractional):
1 La 0.0000 0.0000 0.0000 x1  8 Se 3.43, 4 Cl 3.53
2 Os 0.5000 0.5000 0.5000 x1  2 Cl 2.36, 4 Se 2.49
3 Se 0.0000 0.5000 0.5000 x2  2 Os 2.49
4 Cl 0.5000 0.5000 0.0000 x1  2 Os 2.36



The following is a PBE calculation of La8Os3SeCl4 after structural relaxation, from the Alexandria database.

Calculated values
As for the total energy: -6.394 eV/atom.

Cell lengths 8.4873, 8.4873, 22.4880 Å; angles 90.00, 90.00, 120.00 degrees
Closest atoms and distances in Å follow each position.
Space group R-3m (No. 166, hexagonal axes)
Symmetry-distinct sites (fractional):
1 La 0.0000 0.0000 0.2373 x6  3 Os 2.92, 3 Cl 3.27
2 La 0.0208 0.5104 0.7647 x18  2 Os 2.83, 1 Se 3.03
3 Os 0.0000 0.5000 0.5000 x9  6 La 2.83-2.92
4 Se 0.0000 0.0000 0.5000 x3  6 La 3.03
5 Cl 0.0000 0.0000 0.0000 x3  6 La 3.18
6 Cl 0.0000 0.5000 0.0000 x9  6 La 3.27-3.36



The following is a PBE calculation of La4OsSe2Cl after structural relaxation, from the Alexandria database.

Calculated values
As for the total energy: -6.380 eV/atom.

Cell lengths 7.4413, 4.2189, 7.5138 Å; angles 90.00, 107.55, 90.00 degrees
Closest atoms and distances in Å follow each position.
Space group P2/m (No. 10)
Symmetry-distinct sites (fractional):
1 La 0.2289 0.0000 0.2306 x2  2 Os 2.93, 3 Se 3.01-3.19, 1 Cl 3.03
2 La 0.2295 0.5000 0.7601 x2  1 Os 2.83, 2 Se 3.03, 2 Cl 3.09
3 Os 0.0000 0.5000 0.0000 x1  6 La 2.83-2.93
4 Se 0.0000 0.0000 0.5000 x1  6 La 3.01-3.03
5 Se 0.5000 0.5000 0.5000 x1  6 La 3.19-3.20
6 Cl 0.5000 0.0000 0.0000 x1  6 La 3.03-3.09



Across the entries above, formation energy (no corrections) takes the values -0.9326, -0.9766, -1.2752, -1.5545, 0.0988, -0.4938, -1.1712, -0.3242, -0.4963, -1.1457, -1.4107 eV per atom, respectively.
Across the entries above, N(E_F) takes the values 0.686, 0.653, 0.854, 0.750, 1.435, 0.517, 0.560, 0.774, 1.020, 0.680, 0.834 states/eV/atom, respectively.